No. 1
The following is a DFT calculation (PBE) of a relaxed DyHoLuOs crystal.

Cell lengths 7.1895, 7.1895, 7.1895 Å; angles 90.00, 90.00, 90.00 degrees
Last column: nearest neighbours and their distance in Å.
Space group F-43m (No. 216)
Inequivalent atoms, fractional coordinates:
Dy 0.0000 0.0000 0.0000 x4  4 Lu 3.11, 4 Os 3.11
Ho 0.0000 0.0000 0.5000 x4  4 Os 3.11, 4 Lu 3.11
Lu 0.2500 0.2500 0.7500 x4  4 Ho 3.11, 4 Dy 3.11
Os 0.2500 0.2500 0.2500 x4  4 Dy 3.11, 4 Ho 3.11

Properties
Energy of formation, eV per atom: 0.081
Fermi-level density of states, states/eV/atom: 0.8007
Total moment, Bohr magnetons per cell: 0.0

***

No. 2
The following is a DFT calculation (PBE) of a relaxed PrDyHoLu crystal.

Cell lengths 8.0230, 8.0230, 8.0230 Å; angles 90.00, 90.00, 90.00 degrees
Last column: nearest neighbours and their distance in Å.
Space group F-43m (No. 216)
Inequivalent atoms, fractional coordinates:
Pr 0.0000 0.0000 0.0000 x4  4 Lu 3.47, 4 Ho 3.47
Dy 0.0000 0.0000 0.5000 x4  4 Ho 3.47, 4 Lu 3.47
Ho 0.2500 0.2500 0.7500 x4  4 Dy 3.47, 4 Pr 3.47
Lu 0.2500 0.2500 0.2500 x4  4 Dy 3.47, 4 Pr 3.47

Properties
Energy of formation, eV per atom: 0.111
Fermi-level density of states, states/eV/atom: 1.5683
Total moment, Bohr magnetons per cell: 0.0

***

No. 3
The following is a DFT calculation (PBE) of a relaxed DyHoLuPu crystal.

Cell lengths 7.8255, 7.8255, 7.8255 Å; angles 90.00, 90.00, 90.00 degrees
Last column: nearest neighbours and their distance in Å.
Space group F-43m (No. 216)
Inequivalent atoms, fractional coordinates:
Dy 0.0000 0.0000 0.0000 x4  4 Lu 3.39, 4 Ho 3.39
Ho 0.2500 0.2500 0.2500 x4  4 Dy 3.39, 4 Pu 3.39
Lu 0.2500 0.2500 0.7500 x4  4 Dy 3.39, 4 Pu 3.39
Pu 0.0000 0.0000 0.5000 x4  4 Ho 3.39, 4 Lu 3.39

Properties
Energy of formation, eV per atom: 0.181
Fermi-level density of states, states/eV/atom: 2.4450
Total moment, Bohr magnetons per cell: 26.0

***

No. 4
The following is a DFT calculation (PBE) of a relaxed DyHoLuSc crystal.

Cell lengths 7.7613, 7.7613, 7.7613 Å; angles 90.00, 90.00, 90.00 degrees
Last column: nearest neighbours and their distance in Å.
Space group F-43m (No. 216)
Inequivalent atoms, fractional coordinates:
Dy 0.0000 0.0000 0.0000 x4  4 Sc 3.36, 4 Lu 3.36
Ho 0.0000 0.0000 0.5000 x4  4 Sc 3.36, 4 Lu 3.36
Lu 0.2500 0.2500 0.7500 x4  4 Dy 3.36, 4 Ho 3.36
Sc 0.2500 0.2500 0.2500 x4  4 Dy 3.36, 4 Ho 3.36

Properties
Energy of formation, eV per atom: 0.112
Fermi-level density of states, states/eV/atom: 1.7691
Total moment, Bohr magnetons per cell: 0.0

***

No. 5
The following is a DFT calculation (PBE) of a relaxed TbDyHoLu crystal.

Cell lengths 7.9303, 7.9303, 7.9303 Å; angles 90.00, 90.00, 90.00 degrees
Last column: nearest neighbours and their distance in Å.
Space group F-43m (No. 216)
Inequivalent atoms, fractional coordinates:
Tb 0.0000 0.0000 0.0000 x4  4 Ho 3.43, 4 Lu 3.43
Dy 0.0000 0.0000 0.5000 x4  4 Lu 3.43, 4 Ho 3.43
Ho 0.2500 0.2500 0.7500 x4  4 Dy 3.43, 4 Tb 3.43
Lu 0.2500 0.2500 0.2500 x4  4 Tb 3.43, 4 Dy 3.43

Properties
Energy of formation, eV per atom: 0.133
Fermi-level density of states, states/eV/atom: 2.1873
Total moment, Bohr magnetons per cell: 0.1

***

No. 6
The following is a DFT calculation (PBE) of a relaxed DyHoLuTh crystal.

Cell lengths 7.9516, 7.9516, 7.9516 Å; angles 90.00, 90.00, 90.00 degrees
Last column: nearest neighbours and their distance in Å.
Space group F-43m (No. 216)
Inequivalent atoms, fractional coordinates:
Dy 0.0000 0.0000 0.0000 x4  4 Ho 3.44, 4 Lu 3.44
Ho 0.2500 0.2500 0.7500 x4  4 Th 3.44, 4 Dy 3.44
Lu 0.2500 0.2500 0.2500 x4  4 Dy 3.44, 4 Th 3.44
Th 0.0000 0.0000 0.5000 x4  4 Lu 3.44, 4 Ho 3.44

Properties
Energy of formation, eV per atom: 0.128
Fermi-level density of states, states/eV/atom: 1.9103
Total moment, Bohr magnetons per cell: 0.0

***

No. 7
The following is a DFT calculation (PBE) of a relaxed DyHoTmLu crystal.

Cell lengths 7.8938, 7.8938, 7.8938 Å; angles 90.00, 90.00, 90.00 degrees
Last column: nearest neighbours and their distance in Å.
Space group F-43m (No. 216)
Inequivalent atoms, fractional coordinates:
Dy 0.0000 0.0000 0.0000 x4  4 Tm 3.42, 4 Lu 3.42
Ho 0.0000 0.0000 0.5000 x4  4 Tm 3.42, 4 Lu 3.42
Tm 0.2500 0.2500 0.2500 x4  4 Dy 3.42, 4 Ho 3.42
Lu 0.2500 0.2500 0.7500 x4  4 Dy 3.42, 4 Ho 3.42

Properties
Energy of formation, eV per atom: 0.130
Fermi-level density of states, states/eV/atom: 2.2407
Total moment, Bohr magnetons per cell: 0.0

***

No. 8
The following is a DFT calculation (PBE) of a relaxed DyYHoLu crystal.

Cell lengths 7.9601, 7.9601, 7.9601 Å; angles 90.00, 90.00, 90.00 degrees
Last column: nearest neighbours and their distance in Å.
Space group F-43m (No. 216)
Inequivalent atoms, fractional coordinates:
Dy 0.0000 0.0000 0.0000 x4  4 Ho 3.45, 4 Lu 3.45
Y 0.0000 0.0000 0.5000 x4  4 Ho 3.45, 4 Lu 3.45
Ho 0.2500 0.2500 0.7500 x4  4 Dy 3.45, 4 Y 3.45
Lu 0.2500 0.2500 0.2500 x4  4 Dy 3.45, 4 Y 3.45

Properties
Energy of formation, eV per atom: 0.135
Fermi-level density of states, states/eV/atom: 2.4309
Total moment, Bohr magnetons per cell: 0.0

***

No. 9
The following is a DFT calculation (PBE) of a relaxed DyHoLuZr crystal.

Cell lengths 7.7116, 7.7116, 7.7116 Å; angles 90.00, 90.00, 90.00 degrees
Last column: nearest neighbours and their distance in Å.
Space group F-43m (No. 216)
Inequivalent atoms, fractional coordinates:
Dy 0.0000 0.0000 0.0000 x4  4 Ho 3.34, 4 Lu 3.34
Ho 0.2500 0.2500 0.2500 x4  4 Zr 3.34, 4 Dy 3.34
Lu 0.2500 0.2500 0.7500 x4  4 Zr 3.34, 4 Dy 3.34
Zr 0.0000 0.0000 0.5000 x4  4 Ho 3.34, 4 Lu 3.34

Properties
Energy of formation, eV per atom: 0.205
Fermi-level density of states, states/eV/atom: 1.6983
Total moment, Bohr magnetons per cell: 10.5

***

No. 10
The following is a DFT calculation (PBE) of a relaxed Dy12Ho7Mg crystal.

Cell lengths 11.8639, 11.8639, 15.7785 Å; angles 90.00, 90.00, 120.00 degrees
Last column: nearest neighbours and their distance in Å.
Space group R-3 (No. 148, hexagonal axes)
Inequivalent atoms, fractional coordinates:
Dy 0.0308 0.4564 0.2186 x18  5 Dy 3.23-3.58, 1 Mg 3.29, 2 Ho 3.53-3.54
Dy 0.0535 0.5863 0.5838 x18  4 Dy 3.19-3.41, 2 Ho 3.24-3.45
Ho 0.0000 0.0000 0.0000 x3  6 Dy 3.24
Ho 0.0560 0.1897 0.2938 x18  3 Ho 3.33-3.47, 7 Dy 3.45-3.73
Mg 0.0000 0.0000 0.5000 x3  6 Dy 3.29

Properties
Energy of formation, eV per atom: 0.216
E above lowest polymorph, meV per atom: 0
Fermi-level density of states, states/eV/atom: 1.5155
Total moment, Bohr magnetons per cell: 0.0

***

No. 11
The following is a DFT calculation (PBE) of a relaxed Dy2Ho5Mg crystal.

Cell lengths 3.5352, 8.5731, 16.3596 Å; angles 81.35, 83.87, 89.82 degrees
Last column: nearest neighbours and their distance in Å.
Space group P-1 (No. 2)
Inequivalent atoms, fractional coordinates:
Dy 0.0186 0.3069 0.4594 x2  8 Ho 3.47-3.73, 3 Dy 3.54-3.75
Dy 0.2272 0.3214 0.0405 x2  8 Ho 3.37-3.71, 4 Dy 3.54-3.62
Ho 0.1762 0.6186 0.1542 x2  3 Dy 3.37-3.60, 1 Mg 3.38, 8 Ho 3.49-3.62
Ho 0.2933 0.0310 0.9109 x2  2 Mg 3.16, 6 Ho 3.37-3.54, 3 Dy 3.49-3.50
Ho 0.3737 0.7177 0.7571 x2  6 Ho 3.39-3.63, 2 Mg 3.41-3.42, 2 Dy 3.71
Ho 0.4220 0.3718 0.6530 x2  6 Ho 3.36-3.63, 2 Mg 3.37-3.39, 4 Dy 3.53-3.73
Ho 0.4479 0.0132 0.5932 x2  3 Ho 3.07-3.39, 2 Mg 3.15-3.16
Mg 0.1272 0.9400 0.2518 x2  9 Ho 3.15-3.42

Properties
Energy of formation, eV per atom: 0.055
E above lowest polymorph, meV per atom: 34
Fermi-level density of states, states/eV/atom: 1.4897
Total moment, Bohr magnetons per cell: 0.0

***

No. 12
The following is a DFT calculation (PBE) of a relaxed DyHo5Mg6 crystal.

Cell lengths 5.3591, 16.0701, 7.5117 Å; angles 90.00, 90.00, 90.00 degrees
Last column: nearest neighbours and their distance in Å.
Space group Cmmm (No. 65)
Inequivalent atoms, fractional coordinates:
Dy 0.0000 0.0000 0.0000 x2  8 Mg 3.27-3.28
Ho 0.0000 0.0000 0.5000 x2  8 Mg 3.27
Ho 0.0000 0.3332 0.0000 x4  8 Mg 3.27
Ho 0.0000 0.3336 0.5000 x4  8 Mg 3.27
Mg 0.0000 0.1670 0.2502 x8  7 Ho 3.27, 1 Dy 3.28
Mg 0.0000 0.5000 0.2503 x4  6 Ho 3.27, 2 Dy 3.27

Properties
Energy of formation, eV per atom: -0.075
Fermi-level density of states, states/eV/atom: 1.4146
Total moment, Bohr magnetons per cell: 0.0

***

No. 13
The following is a DFT calculation (PBE) of a relaxed Dy8Ho2Mg crystal.

Cell lengths 17.1269, 6.6180, 6.4571 Å; angles 90.00, 104.97, 90.00 degrees
Last column: nearest neighbours and their distance in Å.
Space group C2/m (No. 12)
Inequivalent atoms, fractional coordinates:
Dy 0.0882 0.0000 0.4175 x4  1 Ho 3.21, 3 Dy 3.45-3.54
Dy 0.0904 0.2426 0.9296 x8  5 Dy 3.21-3.54, 1 Mg 3.28, 2 Ho 3.32-3.40
Dy 0.2064 0.5000 0.6580 x4  4 Ho 3.31-3.47, 1 Mg 3.42, 3 Dy 3.42-3.67
Ho 0.2479 0.0000 0.8092 x4  9 Dy 3.21-3.47
Mg 0.0000 0.5000 0.5000 x2  6 Dy 3.28-3.42

Properties
Energy of formation, eV per atom: 0.198
E above lowest polymorph, meV per atom: 167
Fermi-level density of states, states/eV/atom: 1.6706
Total moment, Bohr magnetons per cell: 0.0

***

No. 14
The following is a DFT calculation (PBE) of a relaxed DyHoMg crystal.

Cell lengths 3.4299, 5.3461, 5.3591 Å; angles 90.00, 90.00, 90.00 degrees
Last column: nearest neighbours and their distance in Å.
Space group Pmmm (No. 47)
Inequivalent atoms, fractional coordinates:
Dy 0.0000 0.0000 0.0000 x1  4 Mg 3.18, 2 Dy 3.43
Ho 0.0000 0.5000 0.5000 x1  4 Mg 3.18, 2 Ho 3.43
Mg 0.5000 0.0000 0.5000 x1  4 Ho 3.18, 4 Dy 3.18, 2 Mg 3.43

Properties
Energy of formation, eV per atom: 0.365
E above lowest polymorph, meV per atom: 401
Fermi-level density of states, states/eV/atom: 1.3853
Total moment, Bohr magnetons per cell: 0.0